Ba4MgFe: PBEsol geometry, meta-GGA SCAN.

Structure (POSCAR):
```
Ba4MgFe
1.0
-4.326 4.378 -3.484
-1.942 -1.487 -6.636
-6.653 -1.961 -1.382
Fe Ba Mg
1 4 1
Direct
0.750 0.750 0.750
0.376 0.376 0.376
0.376 0.376 0.873
0.376 0.873 0.376
0.873 0.376 0.376
0.000 0.000 0.000
```

Values from the calculation:
Fermi-level density of states = 7.13 states/eV/f.u.
final energy = -176.3 eV/cell
calculated formation energy = 0.8304 eV/atom
space group = F-43m
M_tot = 2.1 μB/f.u.

LaTeIr2C: PBEsol geometry, meta-GGA SCAN.

Structure (POSCAR):
```
LaTeIr2C
1.0
-3.880 2.650 -1.174
-1.789 -3.733 -2.514
-2.903 -2.011 5.051
Ir La C Te
2 1 1 1
Direct
0.500 0.000 0.000
0.000 0.500 0.000
0.000 0.000 0.000
0.500 0.500 0.500
0.000 0.000 0.500
```

Values from the calculation:
Fermi-level density of states = 3.30 states/eV/f.u.
final energy = -218.4 eV/cell
space group = P4/mmm
M_tot = 0.7 μB/f.u.